No. 1
First-principles (PBE) data for a geometry-optimized DyPuThAg structure, as listed in Alexandria.

Lattice parameters (Å, degrees): 7.493 7.493 7.493 90.00 90.00 90.00
Space group F-43m (No. 216)
Inequivalent atoms, fractional coordinates:
Dy (0.000, 0.000, 0.000) (multiplicity 4)
Pu (0.250, 0.250, 0.250) (multiplicity 4)
Th (0.000, 0.000, 0.500) (multiplicity 4)
Ag (0.250, 0.250, 0.750) (multiplicity 4)

The calculation puts the formation energy at 146 meV/atom. As for the crystal system: cubic. The calculation puts the density of states at the Fermi level at 13.99 states/eV/f.u.

***

No. 2
First-principles (PBE) data for a geometry-optimized DyPuTlAg structure, as listed in Alexandria.

Lattice parameters (Å, degrees): 7.498 7.498 7.498 90.00 90.00 90.00
Space group F-43m (No. 216)
Inequivalent atoms, fractional coordinates:
Dy (0.000, 0.000, 0.000) (multiplicity 4)
Pu (0.000, 0.000, 0.500) (multiplicity 4)
Tl (0.250, 0.250, 0.750) (multiplicity 4)
Ag (0.250, 0.250, 0.250) (multiplicity 4)

The calculation puts the formation energy at -95 meV/atom. As for the crystal system: cubic. The calculation puts the density of states at the Fermi level at 10.64 states/eV/f.u.

***

No. 3
First-principles (PBE) data for a geometry-optimized DyPuZnAg structure, as listed in Alexandria.

Lattice parameters (Å, degrees): 7.251 7.251 7.251 90.00 90.00 90.00
Space group F-43m (No. 216)
Inequivalent atoms, fractional coordinates:
Dy (0.000, 0.000, 0.000) (multiplicity 4)
Pu (0.000, 0.000, 0.500) (multiplicity 4)
Zn (0.250, 0.250, 0.250) (multiplicity 4)
Ag (0.250, 0.250, 0.750) (multiplicity 4)

The calculation puts the formation energy at -95 meV/atom. As for the crystal system: cubic. The calculation puts the density of states at the Fermi level at 10.20 states/eV/f.u.